RbBa2Nd (PBE, relaxed); calculated formation energy = 18 kJ per mole of atoms; E_tot = -2.204 eV per atom; space group = P4/mmm (123)
1.0
4.185 0.000 0.000
0.000 4.185 0.000
0.000 0.000 13.123
Rb Ba Nd
1 2 1
direct
0.000 0.000 0.000
0.500 0.500 0.294
0.500 0.500 0.706
0.000 0.000 0.500

=====

RbPt (PBE, relaxed); calculated formation energy = 17 kJ per mole of atoms; E_tot = -3.333 eV per atom; space group = P-3m1 (164)
1.0
4.335 0.000 0.000
-2.168 3.755 0.000
0.000 0.000 10.391
Rb Pt
2 2
direct
0.333 0.667 0.275
0.667 0.333 0.725
0.333 0.667 0.981
0.667 0.333 0.019

=====

PmPrHo4 (PBE, relaxed); energy relative to the lowest polymorph listed for this composition = 0.00 eV/f.u.; calculated formation energy = 2 kJ per mole of atoms; E_tot = -4.619 eV per atom; space group = C2/m (12)
1.0
11.328 0.000 0.000
0.000 5.039 0.000
-2.277 0.000 6.794
Pm Pr Ho
2 2 8
direct
0.000 0.000 0.000
0.500 0.500 0.000
0.000 0.000 0.500
0.500 0.500 0.500
0.168 0.500 0.333
0.168 0.500 0.835
0.332 0.000 0.165
0.332 0.000 0.667
0.668 0.000 0.333
0.668 0.000 0.835
0.832 0.500 0.165
0.832 0.500 0.667

=====

SrLa2As (PBE, relaxed); calculated formation energy = -31 kJ per mole of atoms; E_tot = -4.369 eV per atom; space group = I-4m2 (119)
1.0
4.780 0.000 0.000
0.000 4.780 0.000
0.000 0.000 10.678
Sr La As
2 4 2
direct
0.000 0.000 0.000
0.500 0.500 0.500
0.000 0.000 0.500
0.000 0.500 0.250
0.500 0.000 0.750
0.500 0.500 0.000
0.000 0.500 0.750
0.500 0.000 0.250

=====

CaZrTlCd2 (PBE, relaxed); calculated formation energy = 38 kJ per mole of atoms; E_tot = -2.557 eV per atom; space group = P4/mmm (123)
1.0
5.570 0.000 0.000
0.000 5.570 0.000
0.000 0.000 5.532
Ca Zr Tl Cd
1 1 1 2
direct
0.000 0.000 0.000
0.500 0.500 0.500
0.500 0.500 0.000
0.000 0.500 0.500
0.500 0.000 0.500

=====

BeSbAs2 (PBE, relaxed); energy relative to the lowest polymorph listed for this composition = 0.60 eV/f.u.; E_form (uncorrected) = 0.1780 eV/atom; E_tot = -4.109 eV per atom; space group = R-3m (166)
1.0
3.801 0.000 0.000
-1.900 3.291 0.000
0.000 0.000 18.522
Be Sb As
3 3 6
direct
0.000 0.000 0.000
0.333 0.667 0.667
0.667 0.333 0.333
0.000 0.000 0.500
0.333 0.667 0.167
0.667 0.333 0.833
0.000 0.000 0.269
0.000 0.000 0.731
0.333 0.667 0.398
0.333 0.667 0.936
0.667 0.333 0.064
0.667 0.333 0.602

=====

Ba3CuC (PBE, relaxed); energy relative to the lowest polymorph listed for this composition = 0.00 eV/f.u.; calculated formation energy = 53 kJ per mole of atoms; E_tot = -3.269 eV per atom; space group = Pm-3m (221)
1.0
5.711 0.000 0.000
0.000 5.711 0.000
0.000 0.000 5.711
Ba Cu C
3 1 1
direct
0.000 0.000 0.500
0.000 0.500 0.000
0.500 0.000 0.000
0.500 0.500 0.500
0.000 0.000 0.000

=====

CaYMg14 (PBE, relaxed); energy relative to the lowest polymorph listed for this composition = 0.00 eV/f.u.; calculated formation energy = -1 kJ per mole of atoms; E_tot = -1.931 eV per atom; space group = P-6m2 (187)
1.0
6.635 0.000 0.000
-3.318 5.746 0.000
0.000 0.000 10.399
Ca Y Mg
1 1 14
direct
0.000 0.000 0.000
0.000 0.000 0.500
0.005 0.503 0.000
0.007 0.503 0.500
0.171 0.342 0.254
0.171 0.342 0.746
0.171 0.829 0.254
0.171 0.829 0.746
0.497 0.503 0.000
0.497 0.503 0.500
0.497 0.993 0.500
0.497 0.995 0.000
0.658 0.829 0.254
0.658 0.829 0.746
0.667 0.333 0.253
0.667 0.333 0.747

=====

KBe2 (PBE, relaxed); energy relative to the lowest polymorph listed for this composition = 3.28 eV/f.u.; calculated formation energy = 147 kJ per mole of atoms; E_tot = -1.324 eV per atom; space group = P6_3/mmc (194)
1.0
5.142 0.000 0.000
-2.571 4.453 0.000
0.000 0.000 5.878
K Be
2 4
direct
0.333 0.667 0.250
0.667 0.333 0.750
0.000 0.000 0.000
0.000 0.000 0.500
0.333 0.667 0.750
0.667 0.333 0.250

=====

Cr2CuPb (PBE, relaxed); calculated formation energy = 48 kJ per mole of atoms; E_tot = -6.260 eV per atom; space group = F-43m (216)
1.0
6.444 0.000 0.000
0.000 6.444 0.000
0.000 0.000 6.444
Cr Cu Pb
8 4 4
direct
0.000 0.000 0.000
0.000 0.500 0.500
0.250 0.250 0.250
0.250 0.750 0.750
0.500 0.000 0.500
0.500 0.500 0.000
0.750 0.250 0.750
0.750 0.750 0.250
0.000 0.000 0.500
0.000 0.500 0.000
0.500 0.000 0.000
0.500 0.500 0.500
0.250 0.250 0.750
0.250 0.750 0.250
0.750 0.250 0.250
0.750 0.750 0.750

=====

CaHfSe2 (PBE, relaxed); energy relative to the lowest polymorph listed for this composition = 0.00 eV/f.u.; E_form (uncorrected) = -1.0938 eV/atom; E_tot = -5.825 eV per atom; space group = R-3m (166)
1.0
3.799 0.000 0.000
-1.899 3.290 0.000
0.000 0.000 27.286
Ca Hf Se
3 3 6
direct
0.000 0.000 0.000
0.333 0.667 0.667
0.667 0.333 0.333
0.000 0.000 0.500
0.333 0.667 0.167
0.667 0.333 0.833
0.000 0.000 0.108
0.000 0.000 0.892
0.333 0.667 0.558
0.333 0.667 0.775
0.667 0.333 0.225
0.667 0.333 0.442

=====

LaSbTe (PBE, relaxed); E_form (uncorrected) = -1.2715 eV/atom; E_tot = -5.335 eV per atom; space group = P4/nmm (129)
1.0
4.425 0.000 0.000
0.000 4.425 0.000
0.000 0.000 9.624
La Sb Te
2 2 2
direct
0.250 0.250 0.223
0.750 0.750 0.777
0.250 0.750 0.500
0.750 0.250 0.500
0.250 0.250 0.871
0.750 0.750 0.129

=====

| no. | Fermi-level density of states (states/eV/f.u.) |
| --- | --- |
| 1 | 8.114 |
| 2 | 3.192 |
| 3 | 8.203 |
| 4 | 4.608 |
| 5 | 5.832 |
| 6 | 0.993 |
| 7 | 7.666 |
| 8 | 7.578 |
| 9 | 1.474 |
| 10 | 3.620 |
| 11 | 3.239 |
| 12 | 1.581 |